## NiBiP3 (PBE)

Data for a relaxed NiBiP3 crystal. Values from VASP.

Geometry as Quantum ESPRESSO input:
```
&SYSTEM
  ibrav = 0, nat = 5, ntyp = 3
/
ATOMIC_SPECIES
Ni 58.69 Ni.upf
Bi 208.98 Bi.upf
P 30.97 P.upf
CELL_PARAMETERS angstrom
5.208 0.000 0.000
0.000 5.208 0.000
0.000 0.000 5.208
ATOMIC_POSITIONS angstrom
Ni 0.000 0.000 0.000
Bi 2.604 2.604 2.604
P 0.000 2.604 2.604
P 2.604 0.000 2.604
P 2.604 2.604 0.000
```

**V**: 141 Å³/cell
**N(E_F)**: 7.14 states/eV/f.u.
**Energy above the lowest structure with this stoichiometry**: 9.80 eV per formula unit
**Energy of formation from the pure elements**: 181.1 kJ per mole of atoms
**Total moment**: 1.288 μB/f.u.

---

## Ca2BeAuC (PBE)

Data for a relaxed Ca2BeAuC crystal. Values from VASP.

Geometry as Quantum ESPRESSO input:
```
&SYSTEM
  ibrav = 0, nat = 5, ntyp = 4
/
ATOMIC_SPECIES
Ca 40.08 Ca.upf
Be 9.01 Be.upf
Au 196.97 Au.upf
C 12.01 C.upf
CELL_PARAMETERS angstrom
5.217 0.000 0.000
0.000 5.217 0.000
0.000 0.000 3.423
ATOMIC_POSITIONS angstrom
Ca 0.000 2.608 0.000
Ca 2.608 0.000 0.000
Be 0.000 0.000 1.712
Au 2.608 2.608 1.712
C 0.000 0.000 0.000
```

**V**: 93 Å³/cell
**N(E_F)**: 1.85 states/eV/f.u.
**Energy of formation from the pure elements**: -24.7 kJ per mole of atoms
**Total moment**: 0.000 μB/f.u.